Density functional theory data (meta-GGA SCAN) for a PBEsol-optimized structure of CsAsIrSe2.

The structure belongs to space group P4/mmm (No. 123); the cell edges are 5.4624, 5.4624 and 5.6132 Å and the angles 90.00°, 90.00° and 90.00°. The inequivalent atoms are Cs at (0.0000, 0.0000, 0.0000), As at (0.0000, 0.0000, 0.5000), Ir at (0.5000, 0.5000, 0.5000) and Se at (0.0000, 0.5000, 0.0000).

The magnetic moment is 2.23 μB per cell. Its uncorrected formation energy is 2.459 eV per atom. The value obtained for the density is 5.53 g/cm3. The calculation puts the density of states at the Fermi level at 5.436 states/eV per cell. The total energy is -156.961 eV for the cell shown.

Density functional theory data (meta-GGA SCAN) for a PBEsol-optimized structure of CsNa2Tl2.

The structure belongs to space group I4/mmm (No. 139); the cell edges are 5.8449, 5.8449 and 10.9557 Å and the angles 90.00°, 90.00° and 90.00°. The inequivalent atoms are Cs at (0.0000, 0.0000, 0.0000), Na at (0.0000, 0.5000, 0.2500) and Tl at (0.0000, 0.0000, 0.3662).

The calculated formation energy is -0.1259 eV/atom. The magnetic moment is 0.00 μB per cell. The value obtained for the density is 5.21 g/cm3. The calculation puts the density of states at the Fermi level at 10.003 states/eV per cell. The total energy is -383.174 eV for the cell shown.

Density functional theory data (meta-GGA SCAN) for a PBEsol-optimized structure of KCoSb2Pb.

The structure belongs to space group P4/mmm (No. 123); the cell edges are 5.0237, 5.0237 and 5.1880 Å and the angles 90.00°, 90.00° and 90.00°. The inequivalent atoms are K at (0.0000, 0.0000, 0.0000), Co at (0.5000, 0.5000, 0.5000), Sb at (0.0000, 0.5000, 0.5000) and Pb at (0.5000, 0.5000, 0.0000).

The magnetic moment is 0.00 μB per cell. Its uncorrected formation energy is 0.125 eV per atom. The value obtained for the density is 6.96 g/cm3. The calculation puts the density of states at the Fermi level at 2.831 states/eV per cell. The total energy is -175.309 eV for the cell shown.

Density functional theory data (meta-GGA SCAN) for a PBEsol-optimized structure of La3Y.

The structure belongs to space group P-6m2 (No. 187); the cell edges are 3.6179, 3.6179 and 11.7905 Å and the angles 90.00°, 90.00° and 120.00°. The inequivalent atoms are La at (0.0000, 0.0000, 0.0000), La at (0.3333, 0.6667, 0.2565) and Y at (0.0000, 0.0000, 0.5000).

The calculated formation energy is 0.0358 eV/atom. The magnetic moment is 0.00 μB per cell. The value obtained for the density is 6.28 g/cm3. The calculation puts the density of states at the Fermi level at 5.820 states/eV per cell. The total energy is -157.015 eV for the cell shown.

Density functional theory data (meta-GGA SCAN) for a PBEsol-optimized structure of TcBSe3.

The structure belongs to space group Pm-3m (No. 221); the cell edges are 4.2678, 4.2678 and 4.2678 Å and the angles 90.00°, 90.00° and 90.00°. The inequivalent atoms are Tc at (0.0000, 0.0000, 0.0000), B at (0.5000, 0.5000, 0.5000) and Se at (0.0000, 0.5000, 0.5000).

The magnetic moment is 0.00 μB per cell. Its uncorrected formation energy is 1.123 eV per atom. The value obtained for the density is 7.38 g/cm3. The calculation puts the density of states at the Fermi level at 3.165 states/eV per cell. The total energy is -97.108 eV for the cell shown.

Density functional theory data (meta-GGA SCAN) for a PBEsol-optimized structure of ScCu2As.

The structure belongs to space group P4/mmm (No. 123); the cell edges are 3.7396, 3.7396 and 4.2368 Å and the angles 90.00°, 90.00° and 90.00°. The inequivalent atoms are Sc at (0.0000, 0.0000, 0.0000), Cu at (0.0000, 0.5000, 0.5000) and As at (0.5000, 0.5000, 0.0000).

The calculated formation energy is -0.4539 eV/atom. The magnetic moment is 0.00 μB per cell. The value obtained for the density is 6.92 g/cm3. The calculation puts the density of states at the Fermi level at 1.299 states/eV per cell. The total energy is -66.642 eV for the cell shown.

Density functional theory data (meta-GGA SCAN) for a PBEsol-optimized structure of Sb2SeICl.

The structure belongs to space group P4/mmm (No. 123); the cell edges are 5.3931, 5.3931 and 5.5461 Å and the angles 90.00°, 90.00° and 90.00°. The inequivalent atoms are Sb at (0.0000, 0.5000, 0.0000), Se at (0.0000, 0.0000, 0.0000), I at (0.0000, 0.0000, 0.5000) and Cl at (0.5000, 0.5000, 0.5000).

The magnetic moment is 1.16 μB per cell. Its uncorrected formation energy is 0.554 eV per atom. The value obtained for the density is 4.99 g/cm3. The calculation puts the density of states at the Fermi level at 3.641 states/eV per cell. The total energy is -136.547 eV for the cell shown.

Density functional theory data (meta-GGA SCAN) for a PBEsol-optimized structure of HgPbAu.

The structure belongs to space group F-43m (No. 216); the cell edges are 6.6945, 6.6945 and 6.6945 Å and the angles 90.00°, 90.00° and 90.00°. The inequivalent atoms are Hg at (0.0000, 0.0000, 0.0000), Pb at (0.0000, 0.0000, 0.5000) and Au at (0.2500, 0.2500, 0.2500).

The calculated formation energy is -0.0550 eV/atom. The magnetic moment is 0.00 μB per cell. The value obtained for the density is 13.39 g/cm3. The calculation puts the density of states at the Fermi level at 4.624 states/eV per cell. The total energy is -853.076 eV for the cell shown.

Density functional theory data (meta-GGA SCAN) for a PBEsol-optimized structure of MnCd2Rh.

The structure belongs to space group P4mm (No. 99); the cell edges are 3.0165, 3.0165 and 7.2696 Å and the angles 90.00°, 90.00° and 90.00°. The inequivalent atoms are Mn at (0.0000, 0.0000, 0.0000), Cd at (0.0000, 0.0000, 0.4408), Cd at (0.5000, 0.5000, 0.7457) and Rh at (0.5000, 0.5000, 0.1876).

The calculated formation energy is -0.1969 eV/atom. The magnetic moment is 4.24 μB per cell. The value obtained for the density is 9.61 g/cm3. The calculation puts the density of states at the Fermi level at 1.814 states/eV per cell. The total energy is -113.643 eV for the cell shown.

Density functional theory data (meta-GGA SCAN) for a PBEsol-optimized structure of Rb2HgBr2.

The structure belongs to space group P4/mbm (No. 127); the cell edges are 9.2963, 9.2963 and 4.1810 Å and the angles 90.00°, 90.00° and 90.00°. The inequivalent atoms are Rb at (0.1432, 0.3568, 0.0000), Hg at (0.0000, 0.0000, 0.0000) and Br at (0.1552, 0.6552, 0.5000).

The magnetic moment is 0.00 μB per cell. Its uncorrected formation energy is -1.476 eV per atom. The value obtained for the density is 4.88 g/cm3. The calculation puts the density of states at the Fermi level at 0.000 states/eV per cell. The total energy is -311.891 eV for the cell shown.

Density functional theory data (meta-GGA SCAN) for a PBEsol-optimized structure of La5Ag.

The structure belongs to space group Cm (No. 8); the cell edges are 12.3723, 3.7085 and 8.7281 Å and the angles 90.00°, 110.34° and 90.00°. The inequivalent atoms are La at (0.0000, 0.0000, 0.0000), La at (0.0089, 0.0000, 0.4233), La at (0.1755, 0.5000, 0.8063), La at (0.2113, 0.5000, 0.2918), La at (0.3625, 0.0000, 0.6495) and Ag at (0.3289, 0.0000, 0.1020).

The calculated formation energy is -0.0844 eV/atom. The magnetic moment is 0.02 μB per cell. The value obtained for the density is 7.10 g/cm3. The calculation puts the density of states at the Fermi level at 15.504 states/eV per cell. The total energy is -494.798 eV for the cell shown.

Density functional theory data (meta-GGA SCAN) for a PBEsol-optimized structure of Y2MnZnCo.

The structure belongs to space group P4/mmm (No. 123); the cell edges are 4.9046, 4.9046 and 4.5267 Å and the angles 90.00°, 90.00° and 90.00°. The inequivalent atoms are Y at (0.0000, 0.5000, 0.0000), Mn at (0.0000, 0.0000, 0.0000), Zn at (0.0000, 0.0000, 0.5000) and Co at (0.5000, 0.5000, 0.5000).

The calculated formation energy is 0.4923 eV/atom. The magnetic moment is 3.45 μB per cell. The value obtained for the density is 5.45 g/cm3. The calculation puts the density of states at the Fermi level at 3.230 states/eV per cell. The total energy is -102.299 eV for the cell shown.